(1)
Density functional theory data (PBE+U) for a relaxed structure of Li2CrWO6.

## Properties
- Raw total energy: -134.9 eV/cell
- Fermi-level density of states: 0.1 states/eV/f.u.
- Symmetry: P2_1/c, No. 14
- Magnetization: 2.0 μB per formula unit
- Crystal system: monoclinic

a b c (Å): 5.1199 5.2743 7.4162
angles (deg): 90.00 89.99 90.00
Fractional positions:
Li 0.0018 0.9739 0.2509
Li 0.5018 0.5261 0.7509
Li 0.9982 0.0261 0.7491
Li 0.4982 0.4739 0.2491
Cr 0.5000 0.0000 0.0000
Cr 0.0000 0.5000 0.5000
W 0.5000 0.0000 0.5000
W 0.0000 0.5000 0.0000
O 0.3179 0.6924 0.0544
O 0.8179 0.8076 0.5544
O 0.6821 0.3076 0.9456
O 0.1821 0.1924 0.4456
O 0.3144 0.6921 0.4408
O 0.8144 0.8079 0.9408
O 0.6856 0.3079 0.5592
O 0.1856 0.1921 0.0592
O 0.8895 0.5361 0.2497
O 0.3895 0.9639 0.7497
O 0.1105 0.4639 0.7503
O 0.6105 0.0361 0.2503


(2)
Density functional theory data (PBE+U) for a relaxed structure of Li2Cr3WO8.

## Properties
- Raw total energy: -202.6 eV/cell
- Fermi-level density of states: 5.0 states/eV/f.u.
- Symmetry: P6_3mc, No. 186
- Magnetization: 10.0 μB per formula unit
- Crystal system: hexagonal

a b c (Å): 5.9660 5.9660 9.6587
angles (deg): 90.00 90.00 120.00
Fractional positions:
Li 0.3333 0.6667 0.9026
Li 0.0000 0.0000 0.9923
Li 0.0000 0.0000 0.4923
Li 0.6667 0.3333 0.4026
Cr 0.1693 0.8307 0.2130
Cr 0.1693 0.3386 0.2130
Cr 0.6614 0.8307 0.2130
Cr 0.3386 0.1693 0.7130
Cr 0.8307 0.6614 0.7130
Cr 0.8307 0.1693 0.7130
W 0.3333 0.6667 0.4871
W 0.6667 0.3333 0.9871
O 0.1677 0.8323 0.5952
O 0.0402 0.5201 0.3430
O 0.3333 0.6667 0.1076
O 0.0000 0.0000 0.3073
O 0.0000 0.0000 0.8073
O 0.1677 0.3355 0.5952
O 0.4799 0.9598 0.3430
O 0.4799 0.5201 0.3430
O 0.3355 0.1677 0.0952
O 0.6645 0.8323 0.5952
O 0.5201 0.4799 0.8430
O 0.5201 0.0402 0.8430
O 0.6667 0.3333 0.6076
O 0.8323 0.6645 0.0952
O 0.9598 0.4799 0.8430
O 0.8323 0.1677 0.0952


What did the second record say?
Density functional theory data (PBE+U) for a relaxed structure of Li2Cr3WO8.

## Properties
- Raw total energy: -202.6 eV/cell
- Fermi-level density of states: 5.0 states/eV/f.u.
- Symmetry: P6_3mc, No. 186
- Magnetization: 10.0 μB per formula unit
- Crystal system: hexagonal

a b c (Å): 5.9660 5.9660 9.6587
angles (deg): 90.00 90.00 120.00
Fractional positions:
Li 0.3333 0.6667 0.9026
Li 0.0000 0.0000 0.9923
Li 0.0000 0.0000 0.4923
Li 0.6667 0.3333 0.4026
Cr 0.1693 0.8307 0.2130
Cr 0.1693 0.3386 0.2130
Cr 0.6614 0.8307 0.2130
Cr 0.3386 0.1693 0.7130
Cr 0.8307 0.6614 0.7130
Cr 0.8307 0.1693 0.7130
W 0.3333 0.6667 0.4871
W 0.6667 0.3333 0.9871
O 0.1677 0.8323 0.5952
O 0.0402 0.5201 0.3430
O 0.3333 0.6667 0.1076
O 0.0000 0.0000 0.3073
O 0.0000 0.0000 0.8073
O 0.1677 0.3355 0.5952
O 0.4799 0.9598 0.3430
O 0.4799 0.5201 0.3430
O 0.3355 0.1677 0.0952
O 0.6645 0.8323 0.5952
O 0.5201 0.4799 0.8430
O 0.5201 0.0402 0.8430
O 0.6667 0.3333 0.6076
O 0.8323 0.6645 0.0952
O 0.9598 0.4799 0.8430
O 0.8323 0.1677 0.0952


Question: Which of these has the highest raw total energy?
Answer: Li2CrWO6